Below is a relaxed structure of AcGdCoAg, with properties calculated at the PBE level.

- N(E_F) (states/eV per cell) = 4.13
- formation enthalpy at 0 K (meV per atom) = -24.3

Structure (POSCAR):
```
AcGdCoAg
1.0
5.214 0.000 0.000
2.607 4.516 0.000
2.607 1.505 4.258
Co Ac Gd Ag
1 1 1 1
Direct
0.000 0.000 0.000 Co
0.250 0.250 0.250 Ac
0.750 0.750 0.750 Gd
0.500 0.500 0.500 Ag
```